No. 1
VASP calculation (GGA-PBE) on a relaxed Ho3ErMg8 crystal.

abc: 6.047 6.047 9.723
angles: 90.00 90.00 120.00
Fractional positions:
1 Ho 0.000 0.000 0.000
2 Ho 0.000 0.000 0.372
3 Ho 0.333 0.667 0.871
4 Er 0.333 0.667 0.499
5 Mg 0.008 0.504 0.185
6 Mg 0.325 0.162 0.685
7 Mg 0.496 0.504 0.185
8 Mg 0.496 0.992 0.185
9 Mg 0.667 0.333 0.435
10 Mg 0.667 0.333 0.935
11 Mg 0.838 0.162 0.685
12 Mg 0.838 0.675 0.685

Summary:
The formation energy comes out at -62.7 meV per atom. For the density of states at the Fermi level, the calculation gives 13.03 states/eV/cell. For the total energy, the calculation gives -2.6505 eV/atom.



No. 2
VASP calculation (GGA-PBE) on a relaxed HoEr2Mg9 crystal.

abc: 4.647 4.647 13.927
angles: 90.00 90.00 90.00
Fractional positions:
1 Ho 0.000 0.000 0.000
2 Er 0.000 0.000 0.333
3 Er 0.000 0.000 0.667
4 Mg 0.000 0.500 0.167
5 Mg 0.000 0.500 0.500
6 Mg 0.000 0.500 0.833
7 Mg 0.500 0.000 0.167
8 Mg 0.500 0.000 0.500
9 Mg 0.500 0.000 0.833
10 Mg 0.500 0.500 0.000
11 Mg 0.500 0.500 0.334
12 Mg 0.500 0.500 0.666

Summary:
The formation energy comes out at -51.6 meV per atom. For the density of states at the Fermi level, the calculation gives 9.56 states/eV/cell. The energy above the most stable polymorph in this dataset comes out at 0.00 eV/f.u. For the total energy, the calculation gives -2.3895 eV/atom.



No. 3
VASP calculation (GGA-PBE) on a relaxed HoErMg2 crystal.

abc: 5.332 5.332 5.332
angles: 60.00 60.00 60.00
Fractional positions:
1 Ho 0.000 0.000 0.000
2 Er 0.500 0.500 0.500
3 Mg 0.250 0.250 0.250
4 Mg 0.750 0.750 0.750

Summary:
The formation energy comes out at -73.4 meV per atom. For the density of states at the Fermi level, the calculation gives 6.29 states/eV/cell. For the total energy, the calculation gives -3.1558 eV/atom.



No. 4
VASP calculation (GGA-PBE) on a relaxed Ho7ErMg4 crystal.

abc: 8.018 8.018 9.613
angles: 119.37 119.37 41.75
Fractional positions:
1 Ho 0.000 0.000 0.000
2 Ho 0.250 0.250 0.712
3 Ho 0.297 0.297 0.122
4 Ho 0.421 0.421 0.576
5 Ho 0.579 0.579 0.424
6 Ho 0.703 0.703 0.878
7 Ho 0.750 0.750 0.288
8 Er 0.500 0.500 0.000
9 Mg 0.042 0.042 0.698
10 Mg 0.175 0.175 0.346
11 Mg 0.825 0.825 0.654
12 Mg 0.958 0.958 0.302

Summary:
The formation energy comes out at 183.0 meV per atom. For the density of states at the Fermi level, the calculation gives 15.37 states/eV/cell. For the total energy, the calculation gives -3.3992 eV/atom.



No. 5
VASP calculation (GGA-PBE) on a relaxed Ho8Er2Mg3 crystal.

abc: 8.473 8.473 6.510
angles: 97.40 97.40 61.07
Fractional positions:
1 Ho 0.073 0.704 0.078
2 Ho 0.089 0.089 0.389
3 Ho 0.296 0.927 0.922
4 Ho 0.306 0.306 0.711
5 Ho 0.694 0.694 0.289
6 Ho 0.704 0.073 0.078
7 Ho 0.911 0.911 0.611
8 Ho 0.927 0.296 0.922
9 Er 0.292 0.292 0.210
10 Er 0.708 0.708 0.790
11 Mg 0.335 0.665 0.500
12 Mg 0.500 0.500 0.000
13 Mg 0.665 0.335 0.500

Summary:
The formation energy comes out at 223.1 meV per atom. For the density of states at the Fermi level, the calculation gives 19.50 states/eV/cell. For the total energy, the calculation gives -3.6639 eV/atom.



No. 6
VASP calculation (GGA-PBE) on a relaxed Ho4ErMg5 crystal.

abc: 3.779 3.779 18.807
angles: 90.00 90.00 90.00
Fractional positions:
1 Ho 0.000 0.000 0.100
2 Ho 0.000 0.000 0.300
3 Ho 0.000 0.000 0.700
4 Ho 0.000 0.000 0.900
5 Er 0.000 0.000 0.500
6 Mg 0.500 0.500 0.000
7 Mg 0.500 0.500 0.200
8 Mg 0.500 0.500 0.401
9 Mg 0.500 0.500 0.599
10 Mg 0.500 0.500 0.800

Summary:
The formation energy comes out at -71.7 meV per atom. For the density of states at the Fermi level, the calculation gives 14.20 states/eV/cell. For the total energy, the calculation gives -3.1564 eV/atom.



No. 7
VASP calculation (GGA-PBE) on a relaxed Ho2Er5Mg5 crystal.

abc: 6.564 6.564 11.241
angles: 108.32 108.32 47.07
Fractional positions:
1 Ho 0.089 0.089 0.242
2 Ho 0.911 0.911 0.758
3 Er 0.342 0.342 0.516
4 Er 0.396 0.396 0.246
5 Er 0.500 0.500 0.000
6 Er 0.604 0.604 0.754
7 Er 0.658 0.658 0.484
8 Mg 0.000 0.000 0.500
9 Mg 0.173 0.173 0.976
10 Mg 0.243 0.243 0.738
11 Mg 0.757 0.757 0.262
12 Mg 0.827 0.827 0.024

Summary:
The formation energy comes out at 14.5 meV per atom. For the density of states at the Fermi level, the calculation gives 13.89 states/eV/cell. For the total energy, the calculation gives -3.3141 eV/atom.



No. 8
VASP calculation (GGA-PBE) on a relaxed Ho5Er2Mg12 crystal.

abc: 9.601 9.601 10.538
angles: 111.39 111.39 38.55
Fractional positions:
1 Ho 0.000 0.000 0.000
2 Ho 0.374 0.374 0.238
3 Ho 0.403 0.403 0.698
4 Ho 0.597 0.597 0.302
5 Ho 0.626 0.626 0.762
6 Er 0.247 0.753 0.500
7 Er 0.753 0.247 0.500
8 Mg 0.031 0.561 0.408
9 Mg 0.040 0.554 0.902
10 Mg 0.120 0.120 0.803
11 Mg 0.435 0.435 0.022
12 Mg 0.439 0.969 0.592
13 Mg 0.446 0.960 0.098
14 Mg 0.554 0.040 0.902
15 Mg 0.561 0.031 0.408
16 Mg 0.565 0.565 0.978
17 Mg 0.880 0.880 0.197
18 Mg 0.960 0.446 0.098
19 Mg 0.969 0.439 0.592

Summary:
The formation energy comes out at 259.1 meV per atom. For the density of states at the Fermi level, the calculation gives 19.91 states/eV/cell. For the total energy, the calculation gives -2.4330 eV/atom.